VASP calculation (PBEsol) on MnZn8 after structural relaxation.

Calculated values
* calculated total energy: -2.47 eV per atom
* energy relative to the elements: 2.30 kJ/mol of atoms

a b c (Å): 8.0096 8.0096 3.8034
angles (deg): 90.00 90.00 90.00
Space group I4/mmm (No. 139)
Unique sites:
Mn (0.0000, 0.0000, 0.0000) [2 per cell]
Zn (0.0000, 0.3326, 0.0000) [8 per cell]
Zn (0.1661, 0.1661, 0.5000) [8 per cell]